[1]
Entry from the Alexandria database: a relaxed In2Fe2Pt crystal (PBE).

Computed properties:
Magnetization: 7.1 Bohr magnetons per cell
Formation energy: 128 meV/atom

Geometry as CIF:
```
data_In2Fe2Pt
_cell_length_a 6.467
_cell_length_b 6.467
_cell_length_c 4.002
_cell_angle_alpha 90.00
_cell_angle_beta 90.00
_cell_angle_gamma 90.00
_space_group_name_H-M_alt 'P 4/m b m'
_space_group_IT_number 127
_space_group_name_Hall '-P 4 2ab'
loop_
_atom_site_label
_atom_site_fract_x
_atom_site_fract_y
_atom_site_fract_z
In1 0.180 0.320 0.000
Fe1 0.119 0.619 0.500
Pt1 0.000 0.000 0.500
```

=====

[2]
Entry from the Alexandria database: a relaxed In2FePt crystal (PBE).

Computed properties:
Distance to the lowest polymorph of the same formula: 177 meV/atom
Magnetization: 8.8 Bohr magnetons per cell
Formation energy: 127 meV/atom

Geometry as CIF:
```
data_In2FePt
_cell_length_a 3.1423
_cell_length_b 3.1423
_cell_length_c 26.7349
_cell_angle_alpha 90.00
_cell_angle_beta 90.00
_cell_angle_gamma 120.00
_space_group_name_H-M_alt 'R 3 m'
_space_group_IT_number 160
_space_group_name_Hall 'R 3 -2"'
loop_
_atom_site_label
_atom_site_fract_x
_atom_site_fract_y
_atom_site_fract_z
In1 0.0000 0.0000 0.0000
In2 0.0000 0.0000 0.2330
Fe1 0.0000 0.0000 0.7482
Pt1 0.0000 0.0000 0.4836
```

=====

[3]
Entry from the Alexandria database: a relaxed In2FePt crystal (PBE).

Computed properties:
Distance to the lowest polymorph of the same formula: 115 meV/atom
Magnetization: 4.7 Bohr magnetons per cell
Formation energy: 65 meV/atom

Geometry as CIF:
```
data_In2FePt
_cell_length_a 8.822
_cell_length_b 3.026
_cell_length_c 5.485
_cell_angle_alpha 90.00
_cell_angle_beta 100.88
_cell_angle_gamma 90.00
_space_group_name_H-M_alt 'C 1 2/m 1'
_space_group_IT_number 12
loop_
_space_group_symop_operation_xyz
'x,y,z'
'-x,-y,-z'
'-x,y,-z'
'x,-y,z'
'x+1/2,y+1/2,z'
'-x+1/2,-y+1/2,-z'
'-x+1/2,y+1/2,-z'
'x+1/2,-y+1/2,z'
loop_
_atom_site_label
_atom_site_fract_x
_atom_site_fract_y
_atom_site_fract_z
In1 0.249 0.000 0.245
Fe1 0.000 0.500 0.000
Pt1 0.000 0.000 0.500
```

=====

[4]
Entry from the Alexandria database: a relaxed InFe2Pt crystal (PBE).

Computed properties:
Magnetization: 5.8 Bohr magnetons per cell
Formation energy: 67 meV/atom

Geometry as CIF:
```
data_InFe2Pt
_cell_length_a 2.823
_cell_length_b 2.823
_cell_length_c 7.686
_cell_angle_alpha 90.00
_cell_angle_beta 90.00
_cell_angle_gamma 90.00
_space_group_name_H-M_alt 'P 4/m m m'
_space_group_IT_number 123
_space_group_name_Hall '-P 4 2'
loop_
_atom_site_label
_atom_site_fract_x
_atom_site_fract_y
_atom_site_fract_z
In1 0.000 0.000 0.000
Fe1 0.500 0.500 0.267
Pt1 0.000 0.000 0.500
```

=====

[5]
Entry from the Alexandria database: a relaxed In2FePt crystal (PBE).

Computed properties:
Distance to the lowest polymorph of the same formula: 22 meV/atom
Magnetization: 8.7 Bohr magnetons per cell
Formation energy: -28 meV/atom

Geometry as CIF:
```
data_In2FePt
_cell_length_a 6.530
_cell_length_b 6.530
_cell_length_c 6.530
_cell_angle_alpha 90.00
_cell_angle_beta 90.00
_cell_angle_gamma 90.00
_space_group_name_H-M_alt 'F m -3 m'
_space_group_IT_number 225
_space_group_name_Hall '-F 4 2 3'
loop_
_atom_site_label
_atom_site_fract_x
_atom_site_fract_y
_atom_site_fract_z
In1 0.250 0.250 0.250
Fe1 0.000 0.000 0.000
Pt1 0.000 0.000 0.500
```

=====

[6]
Entry from the Alexandria database: a relaxed In2FePt2 crystal (PBE).

Computed properties:
Magnetization: 6.6 Bohr magnetons per cell
Formation energy: -170 meV/atom

Geometry as CIF:
```
data_In2FePt2
_cell_length_a 6.796
_cell_length_b 6.796
_cell_length_c 4.011
_cell_angle_alpha 90.00
_cell_angle_beta 90.00
_cell_angle_gamma 90.00
_space_group_name_H-M_alt 'P 4/m b m'
_space_group_IT_number 127
_space_group_name_Hall '-P 4 2ab'
loop_
_atom_site_label
_atom_site_fract_x
_atom_site_fract_y
_atom_site_fract_z
In1 0.164 0.336 0.000
Fe1 0.000 0.000 0.500
Pt1 0.145 0.645 0.500
```

=====

[7]
Entry from the Alexandria database: a relaxed InFe2Pt crystal (PBE).

Computed properties:
Magnetization: 5.2 Bohr magnetons per cell
Formation energy: -53 meV/atom

Geometry as CIF:
```
data_InFe2Pt
_cell_length_a 3.872
_cell_length_b 3.872
_cell_length_c 4.022
_cell_angle_alpha 90.00
_cell_angle_beta 90.00
_cell_angle_gamma 90.00
_space_group_name_H-M_alt 'P 4/m m m'
_space_group_IT_number 123
_space_group_name_Hall '-P 4 2'
loop_
_atom_site_label
_atom_site_fract_x
_atom_site_fract_y
_atom_site_fract_z
In1 0.000 0.000 0.000
Fe1 0.000 0.500 0.500
Pt1 0.500 0.500 0.000
```

=====

[8]
Entry from the Alexandria database: a relaxed In2FePt crystal (PBE).

Computed properties:
Distance to the lowest polymorph of the same formula: 204 meV/atom
Magnetization: 10.7 Bohr magnetons per cell
Formation energy: 154 meV/atom

Geometry as CIF:
```
data_In2FePt
_cell_length_a 6.609
_cell_length_b 6.609
_cell_length_c 6.609
_cell_angle_alpha 90.00
_cell_angle_beta 90.00
_cell_angle_gamma 90.00
_space_group_name_H-M_alt 'F -4 3 m'
_space_group_IT_number 216
_space_group_name_Hall 'F -4 2 3'
loop_
_atom_site_label
_atom_site_fract_x
_atom_site_fract_y
_atom_site_fract_z
In1 0.000 0.000 0.000
In2 0.250 0.250 0.250
Fe1 0.250 0.250 0.750
Pt1 0.000 0.000 0.500
```

=====

[9]
Entry from the Alexandria database: a relaxed In2FeSiPt crystal (PBE).

Computed properties:
Formation energy (no corrections): 0.3682 eV/atom
Magnetization: 0.0 Bohr magnetons per cell

Geometry as CIF:
```
data_In2FeSiPt
_cell_length_a 4.851
_cell_length_b 4.851
_cell_length_c 4.196
_cell_angle_alpha 90.00
_cell_angle_beta 90.00
_cell_angle_gamma 90.00
_space_group_name_H-M_alt 'P 4/m m m'
_space_group_IT_number 123
_space_group_name_Hall '-P 4 2'
loop_
_atom_site_label
_atom_site_fract_x
_atom_site_fract_y
_atom_site_fract_z
In1 0.000 0.500 0.000
Fe1 0.000 0.000 0.000
Si1 0.000 0.000 0.500
Pt1 0.500 0.500 0.500
```

=====

[10]
Entry from the Alexandria database: a relaxed InFe2SnPt crystal (PBE).

Computed properties:
Magnetization: 5.8 Bohr magnetons per cell
Formation energy: 1103 meV/atom

Geometry as CIF:
```
data_InFe2SnPt
_cell_length_a 4.811
_cell_length_b 4.811
_cell_length_c 4.994
_cell_angle_alpha 90.00
_cell_angle_beta 90.00
_cell_angle_gamma 90.00
_space_group_name_H-M_alt 'P 4/m m m'
_space_group_IT_number 123
_space_group_name_Hall '-P 4 2'
loop_
_atom_site_label
_atom_site_fract_x
_atom_site_fract_y
_atom_site_fract_z
In1 0.000 0.000 0.000
Fe1 0.000 0.500 0.000
Sn1 0.500 0.500 0.500
Pt1 0.000 0.000 0.500
```

=====

[11]
Entry from the Alexandria database: a relaxed In2FeTePt crystal (PBE).

Computed properties:
Formation energy (no corrections): 0.4541 eV/atom
Magnetization: 0.0 Bohr magnetons per cell

Geometry as CIF:
```
data_In2FeTePt
_cell_length_a 5.048
_cell_length_b 5.048
_cell_length_c 4.617
_cell_angle_alpha 90.00
_cell_angle_beta 90.00
_cell_angle_gamma 90.00
_space_group_name_H-M_alt 'P 4/m m m'
_space_group_IT_number 123
_space_group_name_Hall '-P 4 2'
loop_
_atom_site_label
_atom_site_fract_x
_atom_site_fract_y
_atom_site_fract_z
In1 0.000 0.500 0.000
Fe1 0.000 0.000 0.000
Te1 0.500 0.500 0.500
Pt1 0.000 0.000 0.500
```

=====

[12]
Entry from the Alexandria database: a relaxed ZnInFePt2 crystal (PBE).

Computed properties:
Magnetization: 3.0 Bohr magnetons per cell
Formation energy: 500 meV/atom

Geometry as CIF:
```
data_ZnInFePt2
_cell_length_a 4.696
_cell_length_b 4.696
_cell_length_c 4.444
_cell_angle_alpha 90.00
_cell_angle_beta 90.00
_cell_angle_gamma 90.00
_space_group_name_H-M_alt 'P 4/m m m'
_space_group_IT_number 123
_space_group_name_Hall '-P 4 2'
loop_
_atom_site_label
_atom_site_fract_x
_atom_site_fract_y
_atom_site_fract_z
Zn1 0.000 0.000 0.000
In1 0.500 0.500 0.000
Fe1 0.000 0.000 0.500
Pt1 0.000 0.500 0.500
```

=====

[13]
Entry from the Alexandria database: a relaxed ZrInFePt crystal (PBE).

Computed properties:
Magnetization: 5.6 Bohr magnetons per cell
Formation energy: -416 meV/atom

Geometry as CIF:
```
data_ZrInFePt
_cell_length_a 6.517
_cell_length_b 6.517
_cell_length_c 6.517
_cell_angle_alpha 90.00
_cell_angle_beta 90.00
_cell_angle_gamma 90.00
_space_group_name_H-M_alt 'F -4 3 m'
_space_group_IT_number 216
_space_group_name_Hall 'F -4 2 3'
loop_
_atom_site_label
_atom_site_fract_x
_atom_site_fract_y
_atom_site_fract_z
Zr1 0.000 0.000 0.000
In1 0.000 0.000 0.500
Fe1 0.250 0.250 0.250
Pt1 0.250 0.250 0.750
```

=====

[14]
Entry from the Alexandria database: a relaxed PuInFe crystal (PBE).

Computed properties:
Magnetization: 6.7 Bohr magnetons per cell
Formation energy: 32 meV/atom

Geometry as CIF:
```
data_PuInFe
_cell_length_a 3.201
_cell_length_b 3.201
_cell_length_c 11.790
_cell_angle_alpha 90.00
_cell_angle_beta 90.00
_cell_angle_gamma 90.00
_space_group_name_H-M_alt 'I 4 m m'
_space_group_IT_number 107
_space_group_name_Hall 'I 4 -2'
loop_
_atom_site_label
_atom_site_fract_x
_atom_site_fract_y
_atom_site_fract_z
Pu1 0.000 0.000 0.000
In1 0.000 0.000 0.285
Fe1 0.000 0.000 0.642
```

=====

[15]
Entry from the Alexandria database: a relaxed Pu2In8Fe crystal (PBE).

Computed properties:
Magnetization: 12.9 Bohr magnetons per cell
Formation energy: -119 meV/atom

Geometry as CIF:
```
data_Pu2In8Fe
_cell_length_a 4.649
_cell_length_b 4.649
_cell_length_c 12.257
_cell_angle_alpha 90.00
_cell_angle_beta 90.00
_cell_angle_gamma 90.00
_space_group_name_H-M_alt 'P 4/m m m'
_space_group_IT_number 123
_space_group_name_Hall '-P 4 2'
loop_
_atom_site_label
_atom_site_fract_x
_atom_site_fract_y
_atom_site_fract_z
Pu1 0.000 0.000 0.192
In1 0.000 0.500 0.000
In2 0.000 0.500 0.378
In3 0.500 0.500 0.190
Fe1 0.000 0.000 0.500
```

=====

[16]
Entry from the Alexandria database: a relaxed PuInFeRh crystal (PBE).

Computed properties:
Magnetization: 11.0 Bohr magnetons per cell
Formation energy: -217 meV/atom

Geometry as CIF:
```
data_PuInFeRh
_cell_length_a 6.619
_cell_length_b 6.619
_cell_length_c 6.619
_cell_angle_alpha 90.00
_cell_angle_beta 90.00
_cell_angle_gamma 90.00
_space_group_name_H-M_alt 'F -4 3 m'
_space_group_IT_number 216
_space_group_name_Hall 'F -4 2 3'
loop_
_atom_site_label
_atom_site_fract_x
_atom_site_fract_y
_atom_site_fract_z
Pu1 0.000 0.000 0.000
In1 0.000 0.000 0.500
Fe1 0.250 0.250 0.750
Rh1 0.250 0.250 0.250
```

=====

[17]
Entry from the Alexandria database: a relaxed PuInFeRu crystal (PBE).

Computed properties:
Magnetization: 11.0 Bohr magnetons per cell
Formation energy: -62 meV/atom

Geometry as CIF:
```
data_PuInFeRu
_cell_length_a 6.562
_cell_length_b 6.562
_cell_length_c 6.562
_cell_angle_alpha 90.00
_cell_angle_beta 90.00
_cell_angle_gamma 90.00
_space_group_name_H-M_alt 'F -4 3 m'
_space_group_IT_number 216
_space_group_name_Hall 'F -4 2 3'
loop_
_atom_site_label
_atom_site_fract_x
_atom_site_fract_y
_atom_site_fract_z
Pu1 0.000 0.000 0.000
In1 0.000 0.000 0.500
Fe1 0.250 0.250 0.250
Ru1 0.250 0.250 0.750
```

=====

[18]
Entry from the Alexandria database: a relaxed Rb3InFe crystal (PBE).

Computed properties:
Distance to the lowest polymorph of the same formula: 0 meV/atom
Magnetization: 3.5 Bohr magnetons per cell
Formation energy: 937 meV/atom

Geometry as CIF:
```
data_Rb3InFe
_cell_length_a 7.038
_cell_length_b 7.038
_cell_length_c 7.038
_cell_angle_alpha 90.00
_cell_angle_beta 90.00
_cell_angle_gamma 90.00
_space_group_name_H-M_alt 'P m -3 m'
_space_group_IT_number 221
_space_group_name_Hall '-P 4 2 3'
loop_
_atom_site_label
_atom_site_fract_x
_atom_site_fract_y
_atom_site_fract_z
Rb1 0.000 0.000 0.500
In1 0.000 0.000 0.000
Fe1 0.500 0.500 0.500
```

=====

[19]
Entry from the Alexandria database: a relaxed RbIn3Fe crystal (PBE).

Computed properties:
Distance to the lowest polymorph of the same formula: 0 meV/atom
Magnetization: 0.0 Bohr magnetons per cell
Formation energy: 27 meV/atom

Geometry as CIF:
```
data_RbIn3Fe
_cell_length_a 5.127
_cell_length_b 5.127
_cell_length_c 5.127
_cell_angle_alpha 90.00
_cell_angle_beta 90.00
_cell_angle_gamma 90.00
_space_group_name_H-M_alt 'P m -3 m'
_space_group_IT_number 221
_space_group_name_Hall '-P 4 2 3'
loop_
_atom_site_label
_atom_site_fract_x
_atom_site_fract_y
_atom_site_fract_z
Rb1 0.000 0.000 0.000
In1 0.000 0.500 0.500
Fe1 0.500 0.500 0.500
```

=====

[20]
Entry from the Alexandria database: a relaxed Rb2InFe4 crystal (PBE).

Computed properties:
Magnetization: 25.2 Bohr magnetons per cell
Formation energy: 1505 meV/atom

Geometry as CIF:
```
data_Rb2InFe4
_cell_length_a 5.124
_cell_length_b 5.124
_cell_length_c 18.121
_cell_angle_alpha 90.00
_cell_angle_beta 90.00
_cell_angle_gamma 90.00
_space_group_name_H-M_alt 'I 4/m m m'
_space_group_IT_number 139
_space_group_name_Hall '-I 4 2'
loop_
_atom_site_label
_atom_site_fract_x
_atom_site_fract_y
_atom_site_fract_z
Rb1 0.000 0.000 0.149
In1 0.000 0.000 0.500
Fe1 0.000 0.000 0.363
Fe2 0.000 0.500 0.000
```